[1]
This record from Alexandria via LeMat-Bulk describes a relaxed Mn2VSe6 crystal. The functional is PBE.

crystal system = monoclinic
formation energy from raw total energies = -0.526 eV/atom
energy relative to the lowest polymorph listed for this composition = 0 meV/atom
space group = C2/m, No. 12

Lattice parameters (Å, degrees): 3.4374 7.8700 8.3861 110.81 101.83 90.00
Last column: nearest neighbours and their distance in Å.
Atoms (fractional coordinates):
1 Mn 0.8336 0.6675 0.6672  6 Se 2.47-2.48
2 Mn 0.1664 0.3325 0.3328  6 Se 2.47-2.48
3 V 0.5000 0.0000 0.0000  6 Se 2.51-2.52
4 Se 0.3359 0.8955 0.6719  2 Mn 2.47, 1 V 2.51
5 Se 0.0048 0.2369 0.0097  1 Mn 2.48, 2 V 2.52
6 Se 0.6720 0.5617 0.3440  3 Mn 2.47-2.48
7 Se 0.9952 0.7631 0.9903  1 Mn 2.48, 2 V 2.52
8 Se 0.6641 0.1045 0.3281  2 Mn 2.47, 1 V 2.51
9 Se 0.3280 0.4383 0.6560  3 Mn 2.47-2.48

=====

[2]
This record from Alexandria via LeMat-Bulk describes a relaxed Rb2PmCrS4 crystal. The functional is PBE.

crystal system = tetragonal
formation energy from raw total energies = -1.157 eV/atom
space group = I-4, No. 82

Lattice parameters (Å, degrees): 6.9745 6.9745 6.9745 97.69 115.67 115.67
Last column: nearest neighbours and their distance in Å.
Atoms (fractional coordinates):
1 Rb 0.5000 0.7500 0.2500  4 S 3.33
2 Rb 0.0000 0.0000 0.0000  4 S 3.37
3 Pm 0.5000 0.2500 0.7500  4 S 2.68
4 Cr 0.0000 0.5000 0.5000  4 S 2.29
5 S 0.6103 0.3747 0.4454  1 Cr 2.29
6 S 0.0707 0.2356 0.6253  1 Cr 2.29
7 S 0.9293 0.5546 0.1648  1 Cr 2.29
8 S 0.3897 0.8352 0.7644  1 Cr 2.29

=====

[3]
This record from Alexandria via LeMat-Bulk describes a relaxed Na2InPb2 crystal. The functional is PBE.

crystal system = monoclinic
energy relative to the lowest polymorph listed for this composition = 10 meV/atom
ΔE_f = -0.0982 eV/atom
space group = C2/m, No. 12

Lattice parameters (Å, degrees): 4.7398 6.3539 11.5052 81.41 78.11 68.10
Last column: nearest neighbours and their distance in Å.
Atoms (fractional coordinates):
1 Na 0.3249 0.2436 0.1066  5 Pb 3.31-3.50, 2 In 3.38
2 Na 0.4859 0.3421 0.6862  3 In 3.36-3.47, 6 Pb 3.42-3.69
3 Na 0.6751 0.7564 0.8934  5 Pb 3.31-3.50, 2 In 3.38
4 Na 0.5141 0.6579 0.3138  3 In 3.36-3.47, 6 Pb 3.42-3.69
5 In 0.7999 0.0884 0.3118  4 Pb 2.98-3.13
6 In 0.2001 0.9116 0.6882  4 Pb 2.98-3.13
7 Pb 0.9547 0.1937 0.8968  1 In 2.98, 1 Pb 3.13, 1 Na 3.31
8 Pb 0.1512 0.2414 0.4562  3 In 3.05-3.13, 1 Pb 3.28
9 Pb 0.0453 0.8063 0.1032  1 In 2.98, 1 Pb 3.13, 1 Na 3.31
10 Pb 0.8488 0.7586 0.5438  3 In 3.05-3.13, 1 Pb 3.28

=====

[4]
This record from Alexandria via LeMat-Bulk describes a relaxed LiTcAs2 crystal. The functional is PBE.

crystal system = orthorhombic
energy relative to the lowest polymorph listed for this composition = 312 meV/atom
ΔE_f = -0.0330 eV/atom
space group = Cmmm, No. 65

Lattice parameters (Å, degrees): 3.0277 3.0277 8.2966 90.00 90.00 119.38
Last column: nearest neighbours and their distance in Å.
Atoms (fractional coordinates):
1 As 0.0000 0.0000 0.9902  2 Tc 2.51, 2 Li 2.64
2 As 0.0000 0.0000 0.5098  2 Tc 2.51, 2 Li 2.64
3 Li 0.5000 0.5000 0.2500  4 As 2.64
4 Tc 0.5000 0.5000 0.7500  4 As 2.51

=====

[5]
This record from Alexandria via LeMat-Bulk describes a relaxed CaIn2Ni crystal. The functional is PBE.

crystal system = monoclinic
ΔE_f = -0.3684 eV/atom
space group = P2_1/m, No. 11

Lattice parameters (Å, degrees): 4.3524 5.6926 7.6573 90.00 90.00 112.55
Last column: nearest neighbours and their distance in Å.
Atoms (fractional coordinates):
1 Ni 0.7811 0.5618 0.7500  6 In 2.70-2.75, 1 Ca 2.94
2 Ni 0.2189 0.4382 0.2500  6 In 2.70-2.75, 1 Ca 2.94
3 Ca 0.0610 0.1219 0.7500  3 Ni 2.94-3.18
4 Ca 0.9390 0.8781 0.2500  3 Ni 2.94-3.18
5 In 0.3503 0.7001 0.9472  3 Ni 2.70-2.75
6 In 0.6497 0.2999 0.0528  3 Ni 2.70-2.75
7 In 0.6497 0.2999 0.4472  3 Ni 2.70-2.75
8 In 0.3503 0.7001 0.5528  3 Ni 2.70-2.75

=====

[6]
This record from Alexandria via LeMat-Bulk describes a relaxed BeSiRuBr2 crystal. The functional is PBE.

crystal system = tetragonal
formation energy from raw total energies = 1.062 eV/atom
space group = P4/mmm, No. 123

Lattice parameters (Å, degrees): 5.2983 4.1650 5.2983 90.00 90.00 90.00
Last column: nearest neighbours and their distance in Å.
Atoms (fractional coordinates):
1 Ru 0.5000 0.5000 0.5000  8 Br 3.37, 4 Be 3.75
2 Si 0.0000 0.0000 0.0000  2 Be 2.08
3 Br 0.0000 0.0000 0.5000  2 Si 2.65
4 Br 0.5000 0.0000 0.0000  2 Si 2.65
5 Be 0.0000 0.5000 0.0000  2 Si 2.08

=====

[7]
This record from Alexandria via LeMat-Bulk describes a relaxed Pu5TlPd4 crystal. The functional is PBE.

crystal system = tetragonal
ΔE_f = 0.0852 eV/atom
space group = P4/mmm, No. 123

Lattice parameters (Å, degrees): 3.8223 3.8223 14.7182 90.00 90.00 90.00
Last column: nearest neighbours and their distance in Å.
Atoms (fractional coordinates):
1 Pu 0.5000 0.5000 0.1292  1 Pu 2.42
2 Pu 0.5000 0.5000 0.2938  1 Pu 2.42
3 Pu 0.5000 0.5000 0.5000  2 Pu 3.03, 8 Pd 3.06
4 Pu 0.5000 0.5000 0.7062  1 Pu 2.42
5 Pu 0.5000 0.5000 0.8708  1 Pu 2.42
6 Tl 0.0000 0.0000 0.0000  2 Pd 3.15, 8 Pu 3.30
7 Pd 0.0000 0.0000 0.2139  1 Pd 2.77, 8 Pu 2.95-2.98
8 Pd 0.0000 0.0000 0.4020  2 Pd 2.77-2.88, 4 Pu 3.06
9 Pd 0.0000 0.0000 0.5980  2 Pd 2.77-2.88, 4 Pu 3.06
10 Pd 0.0000 0.0000 0.7861  1 Pd 2.77, 8 Pu 2.95-2.98

=====

[8]
This record from Alexandria via LeMat-Bulk describes a relaxed NaHS crystal. The functional is PBE.

crystal system = trigonal
space group = R3m, No. 160

Lattice parameters (Å, degrees): 3.9765 3.9765 3.9765 68.84 68.84 68.84
Last column: nearest neighbours and their distance in Å.
Atoms (fractional coordinates):
1 Na 0.5032 0.5032 0.5032  3 H 2.61
2 S 0.9915 0.9915 0.9915  1 H 1.35
3 H 0.1413 0.1413 0.1413  1 S 1.35

=====

[9]
This record from Alexandria via LeMat-Bulk describes a relaxed Ca2CoGe2 crystal. The functional is PBE.

crystal system = tetragonal
ΔE_f = 0.5255 eV/atom
space group = I4/mmm, No. 139

Lattice parameters (Å, degrees): 4.4702 4.4702 6.8160 70.86 70.86 90.00
Last column: nearest neighbours and their distance in Å.
Atoms (fractional coordinates):
1 Ge 0.4064 0.4064 0.1872  1 Ge 2.26
2 Ge 0.5936 0.5936 0.8128  1 Ge 2.26
3 Co 0.0000 0.0000 0.0000  8 Ge 3.36, 8 Ca 3.76
4 Ca 0.7500 0.2500 0.5000  4 Ge 2.93, 4 Ca 3.16
5 Ca 0.2500 0.7500 0.5000  4 Ge 2.93, 4 Ca 3.16

=====

[10]
This record from Alexandria via LeMat-Bulk describes a relaxed Ag2TePt crystal. The functional is PBE.

crystal system = tetragonal
formation energy from raw total energies = 0.072 eV/atom
space group = I-4m2, No. 119

Lattice parameters (Å, degrees): 5.1102 5.1102 5.1102 129.88 129.88 73.59
Last column: nearest neighbours and their distance in Å.
Atoms (fractional coordinates):
1 Te 0.7500 0.2500 0.5000  4 Pt 2.98, 8 Ag 2.98-3.06
2 Ag 0.0000 0.0000 0.0000  4 Ag 2.98, 4 Te 2.98, 4 Pt 3.06
3 Ag 0.2500 0.7500 0.5000  4 Ag 2.98, 4 Pt 2.98, 4 Te 3.06
4 Pt 0.5000 0.5000 0.0000  4 Te 2.98, 8 Ag 2.98-3.06

=====

[11]
This record from Alexandria via LeMat-Bulk describes a relaxed Tm5Sc5Sb6 crystal. The functional is PBE.

crystal system = orthorhombic
formation energy from raw total energies = -0.882 eV/atom
space group = Amm2, No. 38

Lattice parameters (Å, degrees): 6.0291 8.6494 8.6494 119.49 90.00 90.00
Last column: nearest neighbours and their distance in Å.
Atoms (fractional coordinates):
1 Tm 0.0000 0.7560 0.9995  5 Sb 2.99-3.29
2 Tm 0.0000 0.9995 0.7560  5 Sb 2.99-3.29
3 Tm 0.5000 0.7525 0.7525  5 Sb 2.99-3.28
4 Tm 0.5000 0.2420 0.0002  5 Sb 2.99-3.27
5 Tm 0.5000 0.0002 0.2420  5 Sb 2.99-3.27
6 Sc 0.7504 0.3328 0.6676  2 Sc 3.01-3.02, 6 Sb 3.05-3.09
7 Sc 0.7504 0.6676 0.3328  2 Sc 3.01-3.02, 6 Sb 3.05-3.09
8 Sc 0.2496 0.6676 0.3328  2 Sc 3.01-3.02, 6 Sb 3.05-3.09
9 Sc 0.2496 0.3328 0.6676  2 Sc 3.01-3.02, 6 Sb 3.05-3.09
10 Sc 0.0000 0.2507 0.2507  5 Sb 2.93-3.26
11 Sb 0.0000 0.6030 0.6030  4 Tm 3.01-3.28, 5 Sc 3.05-3.07
12 Sb 0.0000 0.3920 0.0045  5 Sc 2.93-3.09, 4 Tm 2.99-3.27
13 Sb 0.0000 0.0045 0.3920  5 Sc 2.93-3.09, 4 Tm 2.99-3.27
14 Sb 0.5000 0.3938 0.3938  3 Tm 2.99-3.13, 6 Sc 3.07-3.26
15 Sb 0.5000 0.6048 0.0002  5 Tm 2.99-3.29, 4 Sc 3.05-3.07
16 Sb 0.5000 0.0002 0.6048  5 Tm 2.99-3.29, 4 Sc 3.05-3.07

=====

[12]
This record from Alexandria via LeMat-Bulk describes a relaxed Th2ScIr crystal. The functional is PBE.

crystal system = trigonal
ΔE_f = -0.0045 eV/atom
space group = R-3m, No. 166

Lattice parameters (Å, degrees): 3.8465 3.8465 10.2075 79.14 79.14 60.00
Last column: nearest neighbours and their distance in Å.
Atoms (fractional coordinates):
1 Sc 0.0000 0.0000 0.0000  2 Th 3.23
2 Ir 0.5000 0.5000 0.5000  6 Th 2.83
3 Th 0.1081 0.1081 0.6756  3 Ir 2.83
4 Th 0.8919 0.8919 0.3244  3 Ir 2.83

=====

no.,M_tot (μB per cell),E (eV/f.u.)
1,6.69,-53.1
2,3.00,-42.1
3,0.00,-13.3
4,0.00,-21.7
5,0.00,-14.7
6,2.61,-16.5
7,15.15,-93.9
8,0.00,-10.9
9,0.00,-17.7
10,0.00,-14.6
11,1.58,-92.9
12,0.88,-30.1